{"formula": "Cd5Ag4", "functional": "SCAN", "state": "PBEsol geometry", "sg": "I4/mmm, No. 139", "energy_ev_per_atom": -30.87, "total_magnetization_mub_per_atom": 0.0000, "n_ef_per_ev_atom": 0.24, "lattice_angstrom": [[-4.408, 4.408, 2.114], [4.408, -4.408, 2.114], [4.408, 4.408, -2.114]], "species": ["Cd", "Cd", "Cd", "Cd", "Cd", "Ag", "Ag", "Ag", "Ag"], "frac_coords": [[0.000, 0.000, 0.000], [0.331, 0.331, 0.661], [0.331, 0.669, 0.000], [0.669, 0.331, 0.000], [0.669, 0.669, 0.339], [0.000, 0.337, 0.337], [0.000, 0.663, 0.663], [0.337, 0.000, 0.337], [0.663, 0.000, 0.663]]}

---

{"formula": "Cd2Ag", "functional": "SCAN", "state": "PBEsol geometry", "sg": "I4/mcm, No. 140", "energy_ev_per_atom": -30.72, "total_magnetization_mub_per_atom": 0.0001, "n_ef_per_ev_atom": 0.30, "lattice_angstrom": [[-3.338, 3.338, 2.705], [3.338, -3.338, 2.705], [3.338, 3.338, -2.705]], "species": ["Cd", "Cd", "Cd", "Cd", "Ag", "Ag"], "frac_coords": [[0.156, 0.656, 0.813], [0.344, 0.156, 0.500], [0.656, 0.844, 0.500], [0.844, 0.344, 0.187], [0.250, 0.250, 0.000], [0.750, 0.750, 0.000]]}

---

{"formula": "CeCd2Ag", "functional": "SCAN", "state": "PBEsol geometry", "sg": "Fm-3m, No. 225", "energy_ev_per_atom": -34.36, "total_magnetization_mub_per_atom": 0.2147, "n_ef_per_ev_atom": 1.55, "lattice_angstrom": [[0.000, 3.527, 3.527], [3.527, 0.000, 3.527], [3.527, 3.527, 0.000]], "species": ["Ce", "Cd", "Cd", "Ag"], "frac_coords": [[0.000, 0.000, 0.000], [0.250, 0.250, 0.250], [0.750, 0.750, 0.750], [0.500, 0.500, 0.500]]}

---

{"formula": "CdAgCl", "functional": "SCAN", "state": "PBEsol geometry", "sg": "F-43m, No. 216", "energy_ev_per_atom": -23.21, "total_magnetization_mub_per_atom": 0.0000, "n_ef_per_ev_atom": 0.10, "lattice_angstrom": [[0.000, 3.295, 3.295], [3.295, 0.000, 3.295], [3.295, 3.295, 0.000]], "species": ["Cd", "Ag", "Cl"], "frac_coords": [[0.000, 0.000, 0.000], [0.250, 0.250, 0.250], [0.750, 0.750, 0.750]]}

---

{"formula": "CdAgCl2", "functional": "SCAN", "state": "PBEsol geometry", "sg": "Pmmm, No. 47", "energy_ev_per_atom": -19.86, "total_magnetization_mub_per_atom": 0.0000, "n_ef_per_ev_atom": 0.23, "lattice_angstrom": [[3.782, 0.000, 0.000], [0.000, 3.898, 0.000], [0.000, 0.000, 5.937]], "species": ["Cd", "Ag", "Cl", "Cl"], "frac_coords": [[0.000, 0.000, 0.000], [0.000, 0.500, 0.500], [0.500, 0.000, 0.500], [0.500, 0.500, 0.000]]}

---

{"formula": "CdAgCl2", "functional": "SCAN", "state": "PBEsol geometry", "sg": "Imm2, No. 44", "energy_ev_per_atom": -19.96, "total_magnetization_mub_per_atom": 0.0000, "n_ef_per_ev_atom": 0.15, "lattice_angstrom": [[-1.651, 3.022, 4.488], [1.651, -3.022, 4.488], [1.651, 3.022, -4.488]], "species": ["Cd", "Ag", "Cl", "Cl"], "frac_coords": [[0.000, 0.000, 0.000], [0.755, 0.255, 0.500], [0.214, 0.714, 0.500], [0.544, 0.544, 0.000]]}

---

{"formula": "CdIn2AgCl", "functional": "SCAN", "state": "PBEsol geometry", "sg": "P4/mmm, No. 123", "energy_ev_per_atom": -26.97, "total_magnetization_mub_per_atom": 0.0000, "n_ef_per_ev_atom": 0.75, "lattice_angstrom": [[5.591, 0.000, 0.000], [0.000, 5.591, 0.000], [0.000, 0.000, 4.783]], "species": ["Cd", "In", "In", "Ag", "Cl"], "frac_coords": [[0.000, 0.000, 0.000], [0.000, 0.500, 0.500], [0.500, 0.000, 0.500], [0.500, 0.500, 0.000], [0.500, 0.500, 0.500]]}

---

{"formula": "CdAgPCl2", "functional": "SCAN", "state": "PBEsol geometry", "sg": "P4/mmm, No. 123", "energy_ev_per_atom": -17.44, "total_magnetization_mub_per_atom": 0.3773, "n_ef_per_ev_atom": 0.28, "lattice_angstrom": [[5.075, 0.000, 0.000], [0.000, 5.075, 0.000], [0.000, 0.000, 5.058]], "species": ["Cd", "Ag", "P", "Cl", "Cl"], "frac_coords": [[0.000, 0.000, 0.000], [0.500, 0.500, 0.500], [0.000, 0.000, 0.500], [0.000, 0.500, 0.000], [0.500, 0.000, 0.000]]}

---

{"formula": "CdAgS2Cl", "functional": "SCAN", "state": "PBEsol geometry", "sg": "P4/mmm, No. 123", "energy_ev_per_atom": -17.47, "total_magnetization_mub_per_atom": 0.2655, "n_ef_per_ev_atom": 1.14, "lattice_angstrom": [[4.869, 0.000, 0.000], [0.000, 4.869, 0.000], [0.000, 0.000, 5.146]], "species": ["Cd", "Ag", "S", "S", "Cl"], "frac_coords": [[0.000, 0.000, 0.000], [0.500, 0.500, 0.500], [0.000, 0.500, 0.000], [0.500, 0.000, 0.000], [0.000, 0.000, 0.500]]}

---

{"formula": "CdAgS2Cl", "functional": "SCAN", "state": "PBEsol geometry", "sg": "P4/mmm, No. 123", "energy_ev_per_atom": -17.55, "total_magnetization_mub_per_atom": 0.0000, "n_ef_per_ev_atom": 0.46, "lattice_angstrom": [[4.797, 0.000, 0.000], [0.000, 4.797, 0.000], [0.000, 0.000, 4.758]], "species": ["Cd", "Ag", "S", "S", "Cl"], "frac_coords": [[0.000, 0.000, 0.000], [0.500, 0.500, 0.500], [0.000, 0.500, 0.500], [0.500, 0.000, 0.500], [0.500, 0.500, 0.000]]}

---

{"formula": "CdCo2Ag2", "functional": "SCAN", "state": "PBEsol geometry", "sg": "I4/mmm, No. 139", "energy_ev_per_atom": -24.99, "total_magnetization_mub_per_atom": 0.7693, "n_ef_per_ev_atom": 0.53, "lattice_angstrom": [[-1.887, 1.887, 5.648], [1.887, -1.887, 5.648], [1.887, 1.887, -5.648]], "species": ["Cd", "Co", "Co", "Ag", "Ag"], "frac_coords": [[0.000, 0.000, 0.000], [0.407, 0.407, 0.000], [0.593, 0.593, 0.000], [0.250, 0.750, 0.500], [0.750, 0.250, 0.500]]}

---

{"formula": "CdCoAg", "functional": "SCAN", "state": "PBEsol geometry", "sg": "I4mm, No. 107", "energy_ev_per_atom": -26.06, "total_magnetization_mub_per_atom": 0.5947, "n_ef_per_ev_atom": 0.39, "lattice_angstrom": [[-1.405, 1.405, 5.829], [1.405, -1.405, 5.829], [1.405, 1.405, -5.829]], "species": ["Cd", "Co", "Ag"], "frac_coords": [[0.000, 0.000, 0.000], [0.659, 0.659, 0.000], [0.312, 0.312, 0.000]]}

---

{"formula": "Cd4CoAg", "functional": "SCAN", "state": "PBEsol geometry", "sg": "F-43m, No. 216", "energy_ev_per_atom": -27.94, "total_magnetization_mub_per_atom": 0.3278, "n_ef_per_ev_atom": 0.64, "lattice_angstrom": [[0.000, 3.844, 3.844], [3.844, 0.000, 3.844], [3.844, 3.844, 0.000]], "species": ["Cd", "Cd", "Cd", "Cd", "Co", "Ag"], "frac_coords": [[0.125, 0.125, 0.125], [0.125, 0.125, 0.624], [0.125, 0.624, 0.125], [0.624, 0.125, 0.125], [0.500, 0.500, 0.500], [0.750, 0.750, 0.750]]}

---

{"formula": "CdCo2CuAg", "functional": "SCAN", "state": "PBEsol geometry", "sg": "P4/mmm, No. 123", "energy_ev_per_atom": -21.33, "total_magnetization_mub_per_atom": 0.8299, "n_ef_per_ev_atom": 0.66, "lattice_angstrom": [[4.303, 0.000, 0.000], [0.000, 4.303, 0.000], [0.000, 0.000, 4.693]], "species": ["Cd", "Co", "Co", "Cu", "Ag"], "frac_coords": [[0.000, 0.000, 0.000], [0.000, 0.500, 0.500], [0.500, 0.000, 0.500], [0.000, 0.000, 0.500], [0.500, 0.500, 0.000]]}

---

{"formula": "CdCoAgF2", "functional": "SCAN", "state": "PBEsol geometry", "sg": "P4/mmm, No. 123", "energy_ev_per_atom": -18.21, "total_magnetization_mub_per_atom": 0.5608, "n_ef_per_ev_atom": 0.21, "lattice_angstrom": [[3.811, 0.000, 0.000], [0.000, 3.811, 0.000], [0.000, 0.000, 5.442]], "species": ["Cd", "Co", "Ag", "F", "F"], "frac_coords": [[0.000, 0.000, 0.000], [0.500, 0.500, 0.500], [0.500, 0.500, 0.000], [0.000, 0.500, 0.500], [0.500, 0.000, 0.500]]}

---

{"formula": "Cr2CdAg2", "functional": "SCAN", "state": "PBEsol geometry", "sg": "I4/mmm, No. 139", "energy_ev_per_atom": -25.41, "total_magnetization_mub_per_atom": 0.0000, "n_ef_per_ev_atom": 0.56, "lattice_angstrom": [[-1.590, 1.590, 7.820], [1.590, -1.590, 7.820], [1.590, 1.590, -7.820]], "species": ["Cr", "Cr", "Cd", "Ag", "Ag"], "frac_coords": [[0.250, 0.750, 0.500], [0.750, 0.250, 0.500], [0.000, 0.000, 0.000], [0.392, 0.392, 0.000], [0.608, 0.608, 0.000]]}

---

{"formula": "Cr2CdAg", "functional": "SCAN", "state": "PBEsol geometry", "sg": "Cmm2, No. 35", "energy_ev_per_atom": -24.27, "total_magnetization_mub_per_atom": 0.0000, "n_ef_per_ev_atom": 0.56, "lattice_angstrom": [[1.462, -2.288, 0.000], [1.462, 2.288, 0.000], [0.000, 0.000, 8.902]], "species": ["Cr", "Cr", "Cd", "Ag"], "frac_coords": [[0.000, 0.000, 0.000], [0.500, 0.500, 0.180], [0.000, 0.000, 0.453], [0.500, 0.500, 0.739]]}

---

{"formula": "Cr2CdAg", "functional": "SCAN", "state": "PBEsol geometry", "sg": "C2/m, No. 12", "energy_ev_per_atom": -23.87, "total_magnetization_mub_per_atom": 0.0000, "n_ef_per_ev_atom": 0.85, "lattice_angstrom": [[2.580, -4.314, 0.000], [2.580, 4.314, 0.000], [-0.025, 0.000, 2.605]], "species": ["Cr", "Cr", "Cd", "Ag"], "frac_coords": [[0.000, 0.500, 0.000], [0.500, 0.000, 0.000], [0.000, 0.000, 0.500], [0.500, 0.500, 0.500]]}

---

{"formula": "Cr2CdAg", "functional": "SCAN", "state": "PBEsol geometry", "sg": "P4mm, No. 99", "energy_ev_per_atom": -24.49, "total_magnetization_mub_per_atom": 0.0131, "n_ef_per_ev_atom": 0.37, "lattice_angstrom": [[2.969, 0.000, 0.000], [0.000, 2.969, 0.000], [0.000, 0.000, 6.866]], "species": ["Cr", "Cr", "Cd", "Ag"], "frac_coords": [[0.000, 0.000, 0.000], [0.500, 0.500, 0.152], [0.500, 0.500, 0.713], [0.000, 0.000, 0.425]]}

---

{"formula": "CrCdGaAg2", "functional": "SCAN", "state": "PBEsol geometry", "sg": "P4/mmm, No. 123", "energy_ev_per_atom": -24.73, "total_magnetization_mub_per_atom": 0.9758, "n_ef_per_ev_atom": 0.36, "lattice_angstrom": [[5.046, 0.000, 0.000], [0.000, 5.046, 0.000], [0.000, 0.000, 4.774]], "species": ["Cr", "Cd", "Ga", "Ag", "Ag"], "frac_coords": [[0.000, 0.000, 0.000], [0.500, 0.500, 0.500], [0.500, 0.500, 0.000], [0.000, 0.500, 0.500], [0.500, 0.000, 0.500]]}